Run 1
4
Lattice="3.328 0.000 0.000 0.000 3.328 0.000 0.000 0.000 8.472" Properties=species:S:1:pos:R:3 comment="FeSe2Cl, relaxed, DFT PBE-GGA" vol_a3_per_fu=93.8 space_group="P4mm (99)" n_ef_per_ev_fu=3.41 pbc="T T T"
Fe 0.000 0.000 0.000
Se 0.000 0.000 2.256
Se 1.664 1.664 7.631
Cl 1.664 1.664 5.332

Run 2
4
Lattice="5.916 -1.608 0.000 5.916 1.608 0.000 -1.611 0.000 5.425" Properties=species:S:1:pos:R:3 comment="FeSe2Cl, relaxed, DFT PBE-GGA" vol_a3_per_fu=103.2 space_group="Cm (8)" n_ef_per_ev_fu=1.78 pbc="T T T"
Fe 0.000 0.000 0.000
Se 5.720 0.000 1.718
Se 7.633 0.000 0.157
Cl 3.213 0.000 4.072

Which structure wins on stability? run 2 wins.

Run 1
4
Lattice="3.319 0.000 0.000 0.000 3.319 0.000 0.000 0.000 6.925" Properties=species:S:1:pos:R:3 comment="FeSe2Cl, relaxed, DFT PBE-GGA" vol_a3_per_fu=76.3 space_group="P4/mmm (123)" n_ef_per_ev_fu=2.82 pbc="T T T"
Fe 0.000 0.000 0.000
Se 1.660 1.660 1.258
Se 1.660 1.660 5.667
Cl 0.000 0.000 3.463

Run 2
4
Lattice="5.071 0.000 0.000 0.000 5.071 0.000 0.000 0.000 2.897" Properties=species:S:1:pos:R:3 comment="FeSe2Cl, relaxed, DFT PBE-GGA" vol_a3_per_fu=74.5 space_group="P4/mmm (123)" n_ef_per_ev_fu=5.26 pbc="T T T"
Fe 0.000 0.000 0.000
Se 0.000 2.535 1.448
Se 2.535 0.000 1.448
Cl 2.535 2.535 0.000

Which structure wins on stability? run 1 wins.

Run 1
4
Lattice="4.874 0.000 0.000 0.000 3.598 0.000 -1.413 0.000 4.870" Properties=species:S:1:pos:R:3 comment="FeSe2Cl, relaxed, DFT PBE-GGA" vol_a3_per_fu=85.4 space_group="P2/m (10)" n_ef_per_ev_fu=3.86 pbc="T T T"
Fe 0.000 0.000 0.000
Se 0.242 1.799 1.727
Se 3.218 1.799 3.143
Cl 2.437 0.000 0.000

Run 2
4
Lattice="1.602 0.925 9.614 -1.602 0.925 9.614 0.000 -1.850 9.614" Properties=species:S:1:pos:R:3 comment="FeSe2Cl, relaxed, DFT PBE-GGA" vol_a3_per_fu=85.5 space_group="R3m (160)" n_ef_per_ev_fu=3.07 pbc="T T T"
Fe 0.000 0.000 0.000
Se 0.000 0.000 13.874
Se 0.000 0.000 20.681
Cl 0.000 0.000 8.110

Which structure wins on stability? run 1 wins.

Run 1
4
Lattice="-1.376 3.174 6.012 1.376 -3.174 6.012 1.376 3.174 -6.012" Properties=species:S:1:pos:R:3 comment="FeSe2Cl, relaxed, DFT PBE-GGA" vol_a3_per_fu=105.0 space_group="Immm (71)" n_ef_per_ev_fu=1.73 pbc="T T T"
Fe 0.000 0.000 0.000
Se 1.376 0.000 1.917
Se 0.000 3.174 4.095
Cl 0.000 0.000 6.012

Run 2
4
Lattice="1.423 0.822 11.709 -1.423 0.822 11.709 0.000 -1.643 11.709" Properties=species:S:1:pos:R:3 comment="FeSe2Cl, relaxed, DFT PBE-GGA" vol_a3_per_fu=82.2 space_group="R-3m (166)" n_ef_per_ev_fu=4.28 pbc="T T T"
Fe 0.000 0.000 0.000
Se 0.000 0.000 2.252
Se 0.000 0.000 32.875
Cl 0.000 0.000 17.563

Which structure wins on stability? run 1 wins.

Run 1
4
Lattice="2.909 0.000 0.000 0.000 2.909 0.000 0.000 0.000 10.933" Properties=species:S:1:pos:R:3 comment="FeSe2Cl, relaxed, DFT PBE-GGA" vol_a3_per_fu=92.5 space_group="P4mm (99)" n_ef_per_ev_fu=4.17 pbc="T T T"
Fe 0.000 0.000 0.000
Se 0.000 0.000 5.396
Se 1.454 1.454 1.654
Cl 1.454 1.454 9.401

Run 2
4
Lattice="1.822 1.052 7.345 -1.822 1.052 7.345 0.000 -2.104 7.345" Properties=species:S:1:pos:R:3 comment="FeSe2Cl, relaxed, DFT PBE-GGA" vol_a3_per_fu=84.5 space_group="R-3m (166)" n_ef_per_ev_fu=4.03 pbc="T T T"
Fe 0.000 0.000 0.000
Se 0.000 0.000 8.508
Se 0.000 0.000 13.526
Cl 0.000 0.000 11.017

Run 3
4
Lattice="2.391 -5.343 0.000 2.391 5.343 0.000 0.000 0.000 3.500" Properties=species:S:1:pos:R:3 comment="FeSe2Cl, relaxed, DFT PBE-GGA" vol_a3_per_fu=89.4 space_group="Cmmm (65)" n_ef_per_ev_fu=5.69 pbc="T T T"
Fe 0.000 0.000 0.000
Se 1.195 2.671 1.750
Se 1.195 -2.671 1.750
Cl 2.391 0.000 0.000

Which structure wins on stability? run 2 wins.

Run 1
5
Lattice="4.697 0.000 0.000 0.000 4.697 0.000 0.000 0.000 4.697" Properties=species:S:1:pos:R:3 comment="FeSe3Cl, relaxed, DFT PBE-GGA" vol_a3_per_fu=103.6 space_group="Pm-3m (221)" n_ef_per_ev_fu=8.32 pbc="T T T"
Fe 0.000 0.000 0.000
Se 0.000 0.000 2.349
Se 0.000 2.349 0.000
Se 2.349 0.000 0.000
Cl 2.349 2.349 2.349

Run 2
5
Lattice="4.935 0.000 0.000 0.000 4.935 0.000 0.000 0.000 4.935" Properties=species:S:1:pos:R:3 comment="FeSe3Cl, relaxed, DFT PBE-GGA" vol_a3_per_fu=120.2 space_group="Pm-3m (221)" n_ef_per_ev_fu=9.62 pbc="T T T"
Fe 0.000 0.000 0.000
Se 0.000 2.467 2.467
Se 2.467 0.000 2.467
Se 2.467 2.467 0.000
Cl 2.467 2.467 2.467

Which structure wins on stability? run 1 wins.

Run 1
5
Lattice="4.590 0.000 0.000 0.000 4.590 0.000 0.000 0.000 4.590" Properties=species:S:1:pos:R:3 comment="Fe3SeCl, relaxed, DFT PBE-GGA" vol_a3_per_fu=96.7 space_group="Pm-3m (221)" n_ef_per_ev_fu=7.49 pbc="T T T"
Fe 0.000 0.000 2.295
Fe 0.000 2.295 0.000
Fe 2.295 0.000 0.000
Se 0.000 0.000 0.000
Cl 2.295 2.295 2.295

Run 2
5
Lattice="4.327 0.000 0.000 0.000 4.327 0.000 0.000 0.000 4.327" Properties=species:S:1:pos:R:3 comment="Fe3SeCl, relaxed, DFT PBE-GGA" vol_a3_per_fu=81.0 space_group="Pm-3m (221)" n_ef_per_ev_fu=4.43 pbc="T T T"
Fe 0.000 0.000 2.164
Fe 0.000 2.164 0.000
Fe 2.164 0.000 0.000
Se 2.164 2.164 2.164
Cl 0.000 0.000 0.000

Which structure wins on stability? run 1 wins.

Run 1
4
Lattice="0.000 3.453 3.453 3.453 0.000 3.453 3.453 3.453 0.000" Properties=species:S:1:pos:R:3 comment="FeSn2Cl, relaxed, DFT PBE-GGA" vol_a3_per_fu=82.4 space_group="Fm-3m (225)" n_ef_per_ev_fu=5.19 pbc="T T T"
Fe 0.000 0.000 0.000
Sn 1.727 1.727 1.727
Sn 5.180 5.180 5.180
Cl 3.453 3.453 3.453

Run 2
8
Lattice="-3.071 3.071 6.439 3.071 -3.071 6.439 3.071 3.071 -6.439" Properties=species:S:1:pos:R:3 comment="FeSn2Cl, relaxed, DFT PBE-GGA" vol_a3_per_fu=121.5 space_group="I-42d (122)" n_ef_per_ev_fu=4.07 pbc="T T T"
Fe 0.000 0.000 0.000
Fe 0.000 3.071 3.219
Sn 4.607 1.069 -1.610
Sn 1.069 1.536 1.610
Sn -1.536 2.003 4.829
Sn 2.003 1.536 8.048
Cl 3.071 0.000 3.219
Cl 0.000 0.000 6.439

Which structure wins on stability? run 2 wins.

Run 1
8
Lattice="-3.290 3.290 5.069 3.290 -3.290 5.069 3.290 3.290 -5.069" Properties=species:S:1:pos:R:3 comment="FeSnCl2, relaxed, DFT PBE-GGA" vol_a3_per_fu=109.8 space_group="I-42d (122)" n_ef_per_ev_fu=2.28 pbc="T T T"
Fe 0.000 0.000 0.000
Fe 0.000 3.290 2.534
Sn 3.290 0.000 2.534
Sn 0.000 0.000 5.069
Cl 4.936 0.969 -1.267
Cl 0.969 1.645 1.267
Cl -1.645 2.321 3.802
Cl 2.321 1.645 6.336

Run 2
4
Lattice="0.000 3.505 3.505 3.505 0.000 3.505 3.505 3.505 0.000" Properties=species:S:1:pos:R:3 comment="FeSnCl2, relaxed, DFT PBE-GGA" vol_a3_per_fu=86.2 space_group="Fm-3m (225)" n_ef_per_ev_fu=2.62 pbc="T T T"
Fe 0.000 0.000 0.000
Sn 3.505 3.505 3.505
Cl 1.753 1.753 1.753
Cl 5.258 5.258 5.258

Which structure wins on stability? run 1 wins.

Run 1
4
Lattice="0.000 3.688 3.688 3.688 0.000 3.688 3.688 3.688 0.000" Properties=species:S:1:pos:R:3 comment="SrFeCl2, relaxed, DFT PBE-GGA" vol_a3_per_fu=100.3 space_group="F-43m (216)" n_ef_per_ev_fu=9.43 pbc="T T T"
Sr 0.000 0.000 0.000
Fe 5.532 5.532 5.532
Cl 1.844 1.844 1.844
Cl 3.688 3.688 3.688

Run 2
4
Lattice="2.111 1.219 10.425 -2.111 1.219 10.425 0.000 -2.437 10.425" Properties=species:S:1:pos:R:3 comment="SrFeCl2, relaxed, DFT PBE-GGA" vol_a3_per_fu=160.9 space_group="R-3m (166)" n_ef_per_ev_fu=6.64 pbc="T T T"
Sr 0.000 0.000 0.000
Fe 0.000 0.000 15.637
Cl 0.000 0.000 8.893
Cl 0.000 0.000 22.381

Which structure wins on stability? run 2 wins.

Run 1
5
Lattice="4.380 0.000 0.000 0.000 4.380 0.000 0.000 0.000 4.380" Properties=species:S:1:pos:R:3 comment="SrFe3Cl, relaxed, DFT PBE-GGA" vol_a3_per_fu=84.0 space_group="Pm-3m (221)" n_ef_per_ev_fu=6.86 pbc="T T T"
Sr 0.000 0.000 0.000
Fe 0.000 2.190 2.190
Fe 2.190 0.000 2.190
Fe 2.190 2.190 0.000
Cl 2.190 2.190 2.190

Run 2
5
Lattice="5.688 0.000 0.000 0.000 5.688 0.000 0.000 0.000 5.688" Properties=species:S:1:pos:R:3 comment="SrFe3Cl, relaxed, DFT PBE-GGA" vol_a3_per_fu=184.0 space_group="Pm-3m (221)" n_ef_per_ev_fu=8.13 pbc="T T T"
Sr 0.000 0.000 0.000
Fe 0.000 0.000 2.844
Fe 0.000 2.844 0.000
Fe 2.844 0.000 0.000
Cl 2.844 2.844 2.844

Which structure wins on stability? run 1 wins.

Run 1
4
Lattice="-1.785 1.785 4.512 1.785 -1.785 4.512 1.785 1.785 -4.512" Properties=species:S:1:pos:R:3 comment="TaFe2Cl, relaxed, DFT PBE-GGA" vol_a3_per_fu=57.5 space_group="I4/mmm (139)" n_ef_per_ev_fu=4.00 pbc="T T T"
Ta 0.000 0.000 0.000
Fe 1.785 0.000 2.256
Fe 0.000 1.785 2.256
Cl 0.000 0.000 4.512

Run 2
4
Lattice="4.403 -1.464 0.000 4.403 1.464 0.000 -1.636 0.000 4.526" Properties=species:S:1:pos:R:3 comment="TaFe2Cl, relaxed, DFT PBE-GGA" vol_a3_per_fu=58.4 space_group="Cm (8)" n_ef_per_ev_fu=2.26 pbc="T T T"
Ta 0.000 0.000 0.000
Fe 0.614 0.000 2.943
Fe 3.265 0.000 2.279
Cl 6.413 0.000 0.627

Run 3
4
Lattice="2.467 -4.295 0.000 2.467 4.295 0.000 -0.025 0.000 2.843" Properties=species:S:1:pos:R:3 comment="TaFe2Cl, relaxed, DFT PBE-GGA" vol_a3_per_fu=60.2 space_group="C2/m (12)" n_ef_per_ev_fu=3.96 pbc="T T T"
Ta 0.000 0.000 0.000
Fe 1.221 2.148 1.421
Fe 1.221 -2.148 1.421
Cl 2.467 0.000 0.000

Run 4
4
Lattice="3.566 0.000 0.000 0.000 3.566 0.000 0.000 0.000 4.538" Properties=species:S:1:pos:R:3 comment="TaFe2Cl, relaxed, DFT PBE-GGA" vol_a3_per_fu=57.7 space_group="P4/mmm (123)" n_ef_per_ev_fu=3.60 pbc="T T T"
Ta 0.000 0.000 0.000
Fe 0.000 1.783 2.269
Fe 1.783 0.000 2.269
Cl 1.783 1.783 0.000

Which structure wins on stability? run 2 wins.